# 1
4
Lattice="4.172 0.000 0.000 0.000 5.032 0.043 0.000 -0.043 5.032" Properties=species:S:1:pos:R:3 comment="KLa2Co meta-GGA SCAN PBEsol geometry" e_form_mev_per_atom=678 relative_energy_mev_per_atom=623.3 space_group="P4/mmm (123)" mass_density_g_cm3=5.9 pbc="T T T"
Co 2.086 0.000 0.000
La 0.000 -0.022 2.516
La 0.000 2.516 0.021
K 2.086 2.494 2.537



# 2
4
Lattice="-2.633 0.514 -3.026 1.258 -0.229 -3.836 -2.419 -10.138 -2.318" Properties=species:S:1:pos:R:3 comment="KLa2Co meta-GGA SCAN PBEsol geometry" e_form_mev_per_atom=55 relative_energy_mev_per_atom=0.0 space_group="R-3m (166)" mass_density_g_cm3=4.2 pbc="T T T"
K 0.000 0.000 0.000
La -1.172 -3.628 -2.299
La -2.623 -6.225 -6.881
Co -1.897 -4.927 -4.590



# 3
4
Lattice="4.130 0.000 0.000 2.065 3.576 0.000 2.065 1.192 10.977" Properties=species:S:1:pos:R:3 comment="K2LaCo meta-GGA SCAN PBEsol geometry" e_form_mev_per_atom=426 relative_energy_mev_per_atom=0.0 space_group="R3m (160)" mass_density_g_cm3=2.8 pbc="T T T"
K 6.195 3.576 0.972
K 6.195 3.576 7.842
Co 2.065 1.192 3.414
La 4.130 2.384 4.237



# 4
4
Lattice="5.448 0.000 0.000 2.724 4.718 0.000 2.724 1.573 4.448" Properties=species:S:1:pos:R:3 comment="K2LaCo meta-GGA SCAN PBEsol geometry" e_form_mev_per_atom=842 relative_energy_mev_per_atom=416.8 space_group="F-43m (216)" mass_density_g_cm3=4.0 pbc="T T T"
K 0.000 0.000 0.000
K 8.172 4.718 3.336
Co 5.448 3.145 2.224
La 2.724 1.573 1.112